Entry from the Open Quantum Materials Database: a geometry-optimized ErBMo structure (PBE).

Properties
* uncorrected energy: -5.53 eV per atom
* space group: No. 216
* energy above the most stable polymorph in this dataset: 1534 meV/atom

```
data_ErBMo
_chemical_formula_sum 'Er1 B1 Mo1'
_space_group_name_H-M_alt 'P 1'
_space_group_IT_number 1
_cell_length_a 4.4000
_cell_length_b 4.4000
_cell_length_c 4.4000
_cell_angle_alpha 60.00
_cell_angle_beta 60.00
_cell_angle_gamma 60.00
loop_
_space_group_symop_operation_xyz
'x,y,z'
loop_
_atom_site_label
_atom_site_fract_x
_atom_site_fract_y
_atom_site_fract_z
Er1 0.0000 0.0000 0.0000
B1 0.7500 0.7500 0.7500
Mo1 0.2500 0.2500 0.2500
```

=====

Entry from the Open Quantum Materials Database: a geometry-optimized ErB4Mo structure (PBE).

Properties
* uncorrected energy: -7.55 eV per atom
* space group: No. 71
* energy above the most stable polymorph in this dataset: 110 meV/atom

```
data_ErB4Mo
_chemical_formula_sum 'Er1 B4 Mo1'
_space_group_name_H-M_alt 'P 1'
_space_group_IT_number 1
_cell_length_a 4.6969
_cell_length_b 4.6969
_cell_length_c 4.6969
_cell_angle_alpha 140.81
_cell_angle_beta 109.71
_cell_angle_gamma 83.55
loop_
_space_group_symop_operation_xyz
'x,y,z'
loop_
_atom_site_label
_atom_site_fract_x
_atom_site_fract_y
_atom_site_fract_z
Er1 0.0000 0.0000 0.0000
B1 0.0883 0.7514 0.3368
B2 0.4146 0.7514 0.6632
B3 0.5854 0.2486 0.3368
B4 0.9117 0.2486 0.6632
Mo1 0.5000 0.5000 0.0000
```

=====

Entry from the Open Quantum Materials Database: a geometry-optimized ErB4Mo structure (PBE).

Properties
* uncorrected energy: -7.58 eV per atom
* space group: No. 191
* energy above the most stable polymorph in this dataset: 83 meV/atom

```
data_ErB4Mo
_chemical_formula_sum 'Er1 B4 Mo1'
_space_group_name_H-M_alt 'P 1'
_space_group_IT_number 1
_cell_length_a 3.1236
_cell_length_b 3.1236
_cell_length_c 7.0659
_cell_angle_alpha 90.00
_cell_angle_beta 90.00
_cell_angle_gamma 120.00
loop_
_space_group_symop_operation_xyz
'x,y,z'
loop_
_atom_site_label
_atom_site_fract_x
_atom_site_fract_y
_atom_site_fract_z
Er1 0.0000 0.0000 0.0000
B1 0.3333 0.6667 0.2714
B2 0.3333 0.6667 0.7286
B3 0.6667 0.3333 0.2714
B4 0.6667 0.3333 0.7286
Mo1 0.0000 0.0000 0.5000
```

=====

Entry from the Open Quantum Materials Database: a geometry-optimized TbErSi2BMo2 structure (PBE).

Properties
* uncorrected energy: -7.43 eV per atom
* space group: No. 8

```
data_TbErSi2BMo2
_chemical_formula_sum 'Tb1 Er1 Si2 B1 Mo2'
_space_group_name_H-M_alt 'P 1'
_space_group_IT_number 1
_cell_length_a 5.8668
_cell_length_b 5.8668
_cell_length_c 7.0702
_cell_angle_alpha 122.29
_cell_angle_beta 122.29
_cell_angle_gamma 39.27
loop_
_space_group_symop_operation_xyz
'x,y,z'
loop_
_atom_site_label
_atom_site_fract_x
_atom_site_fract_y
_atom_site_fract_z
Tb1 0.0000 0.0000 0.0000
Er1 0.1519 0.1519 0.6047
Si1 0.4459 0.4459 0.6410
Si2 0.7066 0.7066 0.9628
B1 0.5774 0.5774 0.3062
Mo1 0.3608 0.3608 0.2159
Mo2 0.7924 0.7924 0.3900
```

=====

Entry from the Open Quantum Materials Database: a geometry-optimized Er2B4N structure (PBE).

Properties
* uncorrected energy: -7.15 eV per atom
* space group: No. 71

```
data_Er2B4N
_chemical_formula_sum 'Er2 B4 N1'
_space_group_name_H-M_alt 'P 1'
_space_group_IT_number 1
_cell_length_a 5.1514
_cell_length_b 5.1514
_cell_length_c 5.1514
_cell_angle_alpha 143.43
_cell_angle_beta 102.99
_cell_angle_gamma 88.40
loop_
_space_group_symop_operation_xyz
'x,y,z'
loop_
_atom_site_label
_atom_site_fract_x
_atom_site_fract_y
_atom_site_fract_z
Er1 0.2336 0.2336 0.0000
Er2 0.7664 0.7664 0.0000
B1 0.2292 0.5000 0.7292
B2 0.3606 0.0000 0.3606
B3 0.6394 0.0000 0.6394
B4 0.7708 0.5000 0.2708
N1 0.0000 0.5000 0.5000
```

=====

Entry from the Open Quantum Materials Database: a geometry-optimized Er4B3N4 structure (PBE).

Properties
* uncorrected energy: -7.72 eV per atom
* space group: No. 2

```
data_Er4B3N4
_chemical_formula_sum 'Er4 B3 N4'
_space_group_name_H-M_alt 'P 1'
_space_group_IT_number 1
_cell_length_a 3.3293
_cell_length_b 3.4574
_cell_length_c 11.6213
_cell_angle_alpha 89.93
_cell_angle_beta 81.82
_cell_angle_gamma 90.00
loop_
_space_group_symop_operation_xyz
'x,y,z'
loop_
_atom_site_label
_atom_site_fract_x
_atom_site_fract_y
_atom_site_fract_z
Er1 0.0715 0.0001 0.3572
Er2 0.3209 0.5002 0.8579
Er3 0.6791 0.4998 0.1421
Er4 0.9285 0.9999 0.6428
B1 0.2324 0.0000 0.0353
B2 0.5000 0.5000 0.5000
B3 0.7676 0.0000 0.9647
N1 0.1671 0.9999 0.1663
N2 0.4355 0.5000 0.6285
N3 0.5645 0.5000 0.3715
N4 0.8329 0.0001 0.8337
```

=====

Entry from the Open Quantum Materials Database: a geometry-optimized PrErNi2B2N2 structure (PBE).

Properties
* uncorrected energy: -7.31 eV per atom
* space group: No. 99

```
data_PrErNi2B2N2
_chemical_formula_sum 'Pr1 Er1 Ni2 B2 N2'
_space_group_name_H-M_alt 'P 1'
_space_group_IT_number 1
_cell_length_a 3.5656
_cell_length_b 3.5656
_cell_length_c 7.5242
_cell_angle_alpha 90.00
_cell_angle_beta 90.00
_cell_angle_gamma 90.00
loop_
_space_group_symop_operation_xyz
'x,y,z'
loop_
_atom_site_label
_atom_site_fract_x
_atom_site_fract_y
_atom_site_fract_z
Pr1 0.0000 0.0000 0.0000
Er1 0.5000 0.5000 0.6608
Ni1 0.0000 0.5000 0.3320
Ni2 0.5000 0.0000 0.3320
B1 0.0000 0.0000 0.4833
B2 0.5000 0.5000 0.1696
N1 0.0000 0.0000 0.6755
N2 0.5000 0.5000 0.9744
```

=====

Entry from the Open Quantum Materials Database: a geometry-optimized SmErNi2B2N2 structure (PBE).

Properties
* uncorrected energy: -7.36 eV per atom
* space group: No. 99

```
data_SmErNi2B2N2
_chemical_formula_sum 'Sm1 Er1 Ni2 B2 N2'
_space_group_name_H-M_alt 'P 1'
_space_group_IT_number 1
_cell_length_a 3.5198
_cell_length_b 3.5198
_cell_length_c 7.5151
_cell_angle_alpha 90.00
_cell_angle_beta 90.00
_cell_angle_gamma 90.00
loop_
_space_group_symop_operation_xyz
'x,y,z'
loop_
_atom_site_label
_atom_site_fract_x
_atom_site_fract_y
_atom_site_fract_z
Sm1 0.0000 0.0000 0.0000
Er1 0.5000 0.5000 0.6631
Ni1 0.0000 0.5000 0.3323
Ni2 0.5000 0.0000 0.3323
B1 0.0000 0.0000 0.4878
B2 0.5000 0.5000 0.1698
N1 0.0000 0.0000 0.6813
N2 0.5000 0.5000 0.9744
```

=====

Entry from the Open Quantum Materials Database: a geometry-optimized Sm2ErNi2B2N3 structure (PBE).

Properties
* uncorrected energy: -7.51 eV per atom
* space group: No. 139

```
data_Sm2ErNi2B2N3
_chemical_formula_sum 'Sm2 Er1 Ni2 B2 N3'
_space_group_name_H-M_alt 'P 1'
_space_group_IT_number 1
_cell_length_a 10.3219
_cell_length_b 10.3219
_cell_length_c 10.3219
_cell_angle_alpha 160.30
_cell_angle_beta 160.30
_cell_angle_gamma 28.00
loop_
_space_group_symop_operation_xyz
'x,y,z'
loop_
_atom_site_label
_atom_site_fract_x
_atom_site_fract_y
_atom_site_fract_z
Sm1 0.1237 0.1237 0.0000
Sm2 0.8763 0.8763 0.0000
Er1 0.5000 0.5000 0.0000
Ni1 0.2500 0.7500 0.5000
Ni2 0.7500 0.2500 0.5000
B1 0.3103 0.3103 0.0000
B2 0.6897 0.6897 0.0000
N1 0.0000 0.0000 0.0000
N2 0.3835 0.3835 0.0000
N3 0.6165 0.6165 0.0000
```

=====

Entry from the Open Quantum Materials Database: a geometry-optimized Tb2ErNi2B2N3 structure (PBE).

Properties
* uncorrected energy: -7.56 eV per atom
* space group: No. 139

```
data_Tb2ErNi2B2N3
_chemical_formula_sum 'Tb2 Er1 Ni2 B2 N3'
_space_group_name_H-M_alt 'P 1'
_space_group_IT_number 1
_cell_length_a 10.2897
_cell_length_b 10.2897
_cell_length_c 10.2897
_cell_angle_alpha 160.57
_cell_angle_beta 160.57
_cell_angle_gamma 27.62
loop_
_space_group_symop_operation_xyz
'x,y,z'
loop_
_atom_site_label
_atom_site_fract_x
_atom_site_fract_y
_atom_site_fract_z
Tb1 0.1230 0.1230 0.0000
Tb2 0.8770 0.8770 0.0000
Er1 0.5000 0.5000 0.0000
Ni1 0.2500 0.7500 0.5000
Ni2 0.7500 0.2500 0.5000
B1 0.3110 0.3110 0.0000
B2 0.6890 0.6890 0.0000
N1 0.0000 0.0000 0.0000
N2 0.3841 0.3841 0.0000
N3 0.6159 0.6159 0.0000
```

=====

Entry from the Open Quantum Materials Database: a geometry-optimized TbErNi2B2N2 structure (PBE).

Properties
* uncorrected energy: -7.40 eV per atom
* space group: No. 99

```
data_TbErNi2B2N2
_chemical_formula_sum 'Tb1 Er1 Ni2 B2 N2'
_space_group_name_H-M_alt 'P 1'
_space_group_IT_number 1
_cell_length_a 3.4859
_cell_length_b 3.4859
_cell_length_c 7.5008
_cell_angle_alpha 90.00
_cell_angle_beta 90.00
_cell_angle_gamma 90.00
loop_
_space_group_symop_operation_xyz
'x,y,z'
loop_
_atom_site_label
_atom_site_fract_x
_atom_site_fract_y
_atom_site_fract_z
Tb1 0.0000 0.0000 0.0000
Er1 0.5000 0.5000 0.6651
Ni1 0.0000 0.5000 0.3327
Ni2 0.5000 0.0000 0.3327
B1 0.0000 0.0000 0.4924
B2 0.5000 0.5000 0.1701
N1 0.0000 0.0000 0.6868
N2 0.5000 0.5000 0.9749
```

=====

Entry from the Open Quantum Materials Database: a geometry-optimized ErTmNi2B2N2 structure (PBE).

Properties
* uncorrected energy: -7.40 eV per atom
* space group: No. 99

```
data_ErTmNi2B2N2
_chemical_formula_sum 'Er1 Tm1 Ni2 B2 N2'
_space_group_name_H-M_alt 'P 1'
_space_group_IT_number 1
_cell_length_a 3.4522
_cell_length_b 3.4522
_cell_length_c 7.4786
_cell_angle_alpha 90.00
_cell_angle_beta 90.00
_cell_angle_gamma 90.00
loop_
_space_group_symop_operation_xyz
'x,y,z'
loop_
_atom_site_label
_atom_site_fract_x
_atom_site_fract_y
_atom_site_fract_z
Er1 0.0000 0.0000 0.0000
Tm1 0.5000 0.5000 0.3334
Ni1 0.0000 0.5000 0.6667
Ni2 0.5000 0.0000 0.6667
B1 0.0000 0.0000 0.5042
B2 0.5000 0.5000 0.8302
N1 0.0000 0.0000 0.3086
N2 0.5000 0.5000 0.0260
```